# 1
Computed, not measured: an optimized crystal structure of LaEr2Ir at the PBE level of DFT.

Energy of formation: -39.3 kJ/mol of atoms
SG: R3m (160)
Uncorrected energy: -6.136 eV/atom

Lattice parameters (Å, degrees): 8.8732 8.8732 8.8732 26.61 26.61 26.61
Atoms (fractional coordinates):
La1 0.0000 0.0000 0.0000
Er1 0.2235 0.2235 0.2235
Er2 0.4491 0.4491 0.4491
Ir1 0.8363 0.8363 0.8363

***

# 2
Computed, not measured: an optimized crystal structure of LaEr2Ir at the PBE level of DFT.

Energy of formation: -44.6 kJ/mol of atoms
SG: P4/mmm (123)
Uncorrected energy: -6.191 eV/atom

Lattice parameters (Å, degrees): 3.4748 3.4748 8.9614 90.00 90.00 90.00
Atoms (fractional coordinates):
La1 0.0000 0.0000 0.0000
Er1 0.5000 0.5000 0.3208
Er2 0.5000 0.5000 0.6792
Ir1 0.0000 0.0000 0.5000

***

# 3
Computed, not measured: an optimized crystal structure of LiLaErIr at the PBE level of DFT.

Energy of formation: -45.4 kJ/mol of atoms
SG: F-43m (216)
Uncorrected energy: -5.537 eV/atom

Lattice parameters (Å, degrees): 5.0287 5.0287 5.0287 60.00 60.00 60.00
Atoms (fractional coordinates):
Li1 0.0000 0.0000 0.0000
La1 0.2500 0.2500 0.2500
Er1 0.7500 0.7500 0.7500
Ir1 0.5000 0.5000 0.5000

***

# 4
Computed, not measured: an optimized crystal structure of LaErMgIr at the PBE level of DFT.

Energy of formation: -35.8 kJ/mol of atoms
SG: F-43m (216)
Uncorrected energy: -5.358 eV/atom

Lattice parameters (Å, degrees): 5.1349 5.1349 5.1349 60.00 60.00 60.00
Atoms (fractional coordinates):
La1 0.0000 0.0000 0.0000
Er1 0.5000 0.5000 0.5000
Mg1 0.2500 0.2500 0.2500
Ir1 0.7500 0.7500 0.7500

***

# 5
Computed, not measured: an optimized crystal structure of LaErIrO6 at the PBE level of DFT.

E_form (uncorrected): -2.23 eV per atom
SG: P312 (149)
Uncorrected energy: -7.574 eV/atom

Lattice parameters (Å, degrees): 5.4954 5.4954 5.1391 90.00 90.00 120.00
Atoms (fractional coordinates):
La1 0.0000 0.0000 0.0000
Er1 0.3333 0.6667 0.5000
Ir1 0.6667 0.3333 0.5000
O1 0.3756 0.0369 0.7172
O2 0.3756 0.3387 0.2828
O3 0.6613 0.0369 0.2828
O4 0.6613 0.6244 0.7172
O5 0.9631 0.3387 0.7172
O6 0.9631 0.6244 0.2828

***

# 6
Computed, not measured: an optimized crystal structure of LaErIrPd at the PBE level of DFT.

Energy of formation: -75.8 kJ/mol of atoms
SG: F-43m (216)
Uncorrected energy: -6.672 eV/atom

Lattice parameters (Å, degrees): 5.0036 5.0036 5.0036 60.00 60.00 60.00
Atoms (fractional coordinates):
La1 0.0000 0.0000 0.0000
Er1 0.5000 0.5000 0.5000
Ir1 0.2500 0.2500 0.2500
Pd1 0.7500 0.7500 0.7500

***

> Look up the uncorrected energy of the fourth one.

-5.358 eV/atom